## TlSn4Sb (PBE)

Data for an optimized crystal structure of TlSn4Sb.

Lattice parameters (Å, degrees): 8.9168 8.9168 8.9168 90.00 90.00 90.00
Last column: nearest neighbours and their distance in Å.
Space group F-43m (No. 216)
Inequivalent atoms, fractional coordinates:
Tl 0.0000 0.0000 0.0000 [4 per cell]  12 Sn 3.70, 4 Sb 3.86
Sn 0.1251 0.1251 0.3749 [16 per cell]  6 Sn 3.15-3.16
Sb 0.2500 0.2500 0.7500 [4 per cell]  12 Sn 3.70, 4 Tl 3.86

## Properties
Energy relative to the elements, uncorrected = 0.17 eV per atom
Magnetic moment = 0.00 μB/f.u.
Uncorrected energy = -3.58 eV/atom